Material: MgZr2Rh
Method: DFT, PBE
State: optimized geometry

## Properties
- Energy relative to the elements: -0.1430 eV/atom
- Space-group type: R3m, No. 160
- Spin magnetization: 0.000 μB per atom

Cell: 3.210 3.210 9.604 Å, 80.38 80.38 60.00°
Positions (direct):
1 Mg 0.500 0.500 0.501
2 Zr 0.072 0.072 0.785
3 Zr 0.262 0.262 0.215
4 Rh 0.667 0.667 0.999

***

Material: TmBe2Ir2
Method: DFT, PBE
State: optimized geometry

## Properties
- Energy relative to the elements: -0.6706 eV/atom
- Space-group type: I4/mmm, No. 139
- Spin magnetization: 0.000 μB per atom

Cell: 4.028 4.028 9.427 Å, 102.34 102.34 90.00°
Positions (direct):
1 Tm 0.621 0.621 0.241
2 Tm 0.379 0.379 0.759
3 Be 0.750 0.250 0.500
4 Be 0.935 0.935 0.869
5 Be 0.065 0.065 0.131
6 Be 0.250 0.750 0.500
7 Ir 0.000 0.500 0.000
8 Ir 0.191 0.191 0.383
9 Ir 0.500 0.000 0.000
10 Ir 0.809 0.809 0.617

***

Material: PrZn3As3
Method: DFT, PBE
State: optimized geometry

## Properties
- Energy relative to the elements: -0.4972 eV/atom
- Space-group type: P6_3/m, No. 176
- Spin magnetization: 0.000 μB per atom

Cell: 4.099 10.019 10.020 Å, 120.00 90.00 90.00°
Positions (direct):
1 Pr 0.250 0.667 0.333
2 Pr 0.750 0.333 0.667
3 Zn 0.250 0.613 0.952
4 Zn 0.250 0.048 0.661
5 Zn 0.250 0.339 0.387
6 Zn 0.750 0.387 0.048
7 Zn 0.750 0.952 0.339
8 Zn 0.750 0.661 0.613
9 As 0.250 0.110 0.421
10 As 0.250 0.579 0.690
11 As 0.250 0.310 0.890
12 As 0.750 0.890 0.579
13 As 0.750 0.421 0.310
14 As 0.750 0.690 0.110

***

Material: La3Pm2ThN6
Method: DFT, PBE
State: optimized geometry

## Properties
- Uncorrected formation energy: -1.442 eV per atom
- Space-group type: C2/m, No. 12
- Spin magnetization: 0.000 μB per atom

Cell: 6.378 6.378 6.409 Å, 99.56 99.56 119.97°
Positions (direct):
1 La 0.168 0.832 0.500
2 La 0.832 0.168 0.500
3 La 0.500 0.500 0.500
4 Pm 0.334 0.666 0.000
5 Pm 0.666 0.334 0.000
6 Th 0.000 0.000 0.000
7 N 0.921 0.596 0.762
8 N 0.755 0.755 0.239
9 N 0.079 0.404 0.238
10 N 0.596 0.921 0.762
11 N 0.245 0.245 0.761
12 N 0.404 0.079 0.238

***

Material: TmZn11Cr
Method: DFT, PBE
State: optimized geometry

## Properties
- Energy relative to the elements: -0.0985 eV/atom
- Space-group type: C2/m, No. 12
- Spin magnetization: 0.246 μB per atom

Cell: 5.273 6.789 6.798 Å, 81.07 67.18 66.41°
Positions (direct):
1 Tm 0.000 0.000 0.000
2 Zn 0.286 0.216 0.218
3 Zn 0.714 0.784 0.782
4 Zn 0.497 0.784 0.218
5 Zn 0.503 0.216 0.782
6 Zn 0.363 0.648 0.652
7 Zn 0.637 0.352 0.348
8 Zn 0.986 0.352 0.652
9 Zn 0.014 0.648 0.348
10 Zn 0.000 0.500 0.000
11 Zn 0.500 0.000 0.500
12 Zn 0.000 0.000 0.500
13 Cr 0.500 0.500 0.000

***

Material: Ba2YTc
Method: DFT, PBE
State: optimized geometry

## Properties
- Energy relative to the elements: 0.8318 eV/atom
- Space-group type: I4/mmm, No. 139
- Spin magnetization: 0.222 μB per atom

Cell: 6.546 6.546 6.546 Å, 137.41 137.41 61.81°
Positions (direct):
1 Ba 0.000 0.000 0.000
2 Ba 0.500 0.500 0.000
3 Tc 0.750 0.250 0.500
4 Y 0.250 0.750 0.500

***

Material: Cu2P2Pb
Method: DFT, PBE
State: optimized geometry

## Properties
- Energy relative to the elements: 0.1954 eV/atom
- Space-group type: I4/mmm, No. 139
- Spin magnetization: 0.000 μB per atom

Cell: 3.932 3.932 6.185 Å, 71.47 71.47 90.00°
Positions (direct):
1 Pb 0.000 0.000 0.000
2 P 0.750 0.250 0.500
3 P 0.250 0.750 0.500
4 Cu 0.381 0.381 0.238
5 Cu 0.619 0.619 0.762

***

Material: NaVOs2
Method: DFT, PBE
State: optimized geometry

## Properties
- Energy relative to the elements: 0.6752 eV/atom
- Space-group type: Fm-3m, No. 225
- Spin magnetization: 0.000 μB per atom

Cell: 4.338 4.338 4.338 Å, 60.00 60.00 60.00°
Positions (direct):
1 Na 0.000 0.000 0.000
2 Os 0.250 0.250 0.250
3 Os 0.750 0.750 0.750
4 V 0.500 0.500 0.500

***

Material: Er8AlTe2
Method: DFT, PBE
State: optimized geometry

## Properties
- Uncorrected formation energy: -0.387 eV per atom
- Space-group type: C2/m, No. 12
- Spin magnetization: 0.000 μB per atom

Cell: 6.187 8.517 8.517 Å, 45.19 91.95 91.95°
Positions (direct):
1 Er 0.651 0.159 0.653
2 Er 0.349 0.347 0.841
3 Er 0.888 0.201 0.201
4 Er 0.112 0.799 0.799
5 Er 0.651 0.653 0.159
6 Er 0.349 0.841 0.347
7 Er 0.126 0.418 0.418
8 Er 0.874 0.582 0.582
9 Al 0.000 0.000 0.000
10 Te 0.382 0.261 0.261
11 Te 0.618 0.739 0.739

***

Material: CeBeZnPd3
Method: DFT, PBE
State: optimized geometry

## Properties
- Energy relative to the elements: -0.4895 eV/atom
- Space-group type: Cmcm, No. 63
- Spin magnetization: 0.090 μB per atom

Cell: 6.037 5.690 6.749 Å, 114.93 90.00 90.00°
Positions (direct):
1 Ce 0.750 0.293 0.586
2 Ce 0.250 0.707 0.414
3 Be 0.250 0.955 0.910
4 Be 0.750 0.045 0.090
5 Zn 0.250 0.365 0.731
6 Zn 0.750 0.635 0.269
7 Pd 0.250 0.162 0.324
8 Pd 0.000 0.261 0.000
9 Pd 0.500 0.739 0.000
10 Pd 0.500 0.261 0.000
11 Pd 0.000 0.739 0.000
12 Pd 0.750 0.838 0.676

***

Material: K2AgIrI6
Method: DFT, PBE
State: optimized geometry

## Properties
- Uncorrected formation energy: -0.621 eV per atom
- Space-group type: R3, No. 146
- Spin magnetization: 0.000 μB per atom

Cell: 8.190 8.193 8.458 Å, 61.02 61.03 59.98°
Positions (direct):
1 K 0.552 0.551 0.345
2 K 0.035 0.035 0.896
3 Ag 0.729 0.729 0.814
4 Ir 0.333 0.333 0.000
5 I 0.554 0.191 0.223
6 I 0.191 0.032 0.223
7 I 0.032 0.554 0.222
8 I 0.468 0.645 0.764
9 I 0.645 0.122 0.764
10 I 0.122 0.469 0.764

***

Material: LaBeRh3
Method: DFT, PBE
State: optimized geometry

## Properties
- Energy relative to the elements: -0.5349 eV/atom
- Space-group type: Pm-3m, No. 221
- Spin magnetization: 0.000 μB per atom

Cell: 4.341 4.341 4.341 Å, 90.00 90.00 90.00°
Positions (direct):
1 Be 0.000 0.000 0.000
2 Rh 0.000 0.500 0.000
3 Rh 0.000 0.000 0.500
4 Rh 0.500 0.000 0.000
5 La 0.500 0.500 0.500

***

Material: Y2TaOs
Method: DFT, PBE
State: optimized geometry

## Properties
- Energy relative to the elements: 0.2647 eV/atom
- Space-group type: R3m, No. 160
- Spin magnetization: 0.000 μB per atom

Cell: 9.882 9.882 9.882 Å, 19.90 19.90 19.90°
Positions (direct):
1 Os 0.490 0.490 0.490
2 Ta 0.768 0.768 0.768
3 Y 0.010 0.010 0.010
4 Y 0.233 0.233 0.233

***

Material: Mg8Ag2Hg
Method: DFT, PBE
State: optimized geometry

## Properties
- Energy relative to the elements: -0.0909 eV/atom
- Space-group type: C2/m, No. 12
- Spin magnetization: 0.000 μB per atom

Cell: 5.154 7.603 7.603 Å, 118.06 101.67 101.67°
Positions (direct):
1 Mg 0.894 0.908 0.675
2 Mg 0.894 0.675 0.908
3 Mg 0.305 0.605 0.605
4 Mg 0.500 0.778 0.222
5 Mg 0.500 0.222 0.778
6 Mg 0.695 0.395 0.395
7 Mg 0.106 0.325 0.092
8 Mg 0.106 0.092 0.325
9 Ag 0.000 0.302 0.698
10 Ag 0.000 0.698 0.302
11 Hg 0.500 0.000 0.000

***

Material: PrAsHRh
Method: DFT, PBE
State: optimized geometry

## Properties
- Space-group type: P4/nmm, No. 129
- Spin magnetization: 0.000 μB per atom
- Raw total energy: -5.9143 eV per atom

Cell: 4.114 4.114 7.731 Å, 90.00 90.00 90.00°
Positions (direct):
1 Pr 0.500 0.000 0.665
2 Pr 0.000 0.500 0.335
3 As 0.000 0.500 0.811
4 As 0.500 0.000 0.189
5 H 0.000 0.000 0.500
6 H 0.500 0.500 0.500
7 Rh 0.500 0.500 0.000
8 Rh 0.000 0.000 0.000

***

Material: Cd2HgI
Method: DFT, PBE
State: optimized geometry

## Properties
- Uncorrected formation energy: -0.096 eV per atom
- Space-group type: R-3m, No. 166
- Spin magnetization: 0.000 μB per atom

Cell: 4.184 4.184 8.367 Å, 75.52 75.52 60.00°
Positions (direct):
1 I 0.500 0.500 0.500
2 Hg 0.000 0.000 0.000
3 Cd 0.742 0.742 0.775
4 Cd 0.258 0.258 0.225

***

Material: Ta3TiSb
Method: DFT, PBE
State: optimized geometry

## Properties
- Uncorrected formation energy: 1.263 eV per atom
- Space-group type: Pm-3m, No. 221
- Spin magnetization: 0.000 μB per atom

Cell: 4.750 4.750 4.750 Å, 90.00 90.00 90.00°
Positions (direct):
1 Sb 0.500 0.500 0.500
2 Ti 0.000 0.000 0.000
3 Ta 0.000 0.500 0.000
4 Ta 0.000 0.000 0.500
5 Ta 0.500 0.000 0.000

***

Material: AlCuCl2
Method: DFT, PBE
State: optimized geometry

## Properties
- Uncorrected formation energy: -0.071 eV per atom
- Space-group type: P4/mmm, No. 123
- Spin magnetization: 0.000 μB per atom

Cell: 3.261 3.261 7.262 Å, 90.00 90.00 90.00°
Positions (direct):
1 Al 0.500 0.500 0.750
2 Cu 0.500 0.500 0.250
3 Cl 0.000 0.000 0.033
4 Cl 0.000 0.000 0.467

***

Material: DyLuAgOs
Method: DFT, PBE
State: optimized geometry

## Properties
- Energy relative to the elements: -0.3151 eV/atom
- Space-group type: F-43m, No. 216
- Spin magnetization: 0.000 μB per atom

Cell: 4.898 4.898 4.898 Å, 60.00 60.00 60.00°
Positions (direct):
1 Lu 0.500 0.500 0.500
2 Os 0.750 0.750 0.750
3 Ag 0.250 0.250 0.250
4 Dy 0.000 0.000 0.000